Here is an optimized crystal structure of MnCrMo3 from the Alexandria database. Energies are from PBE-GGA.

extended XYZ file:
```
5
Lattice="4.403 0.000 0.000 0.000 4.403 0.000 0.000 0.000 4.403" Properties=species:S:1:pos:R:3 pbc="T T T"
Cr 2.202 2.202 2.202
Mo 0.000 2.202 0.000
Mo 0.000 0.000 2.202
Mo 2.202 0.000 0.000
Mn 0.000 0.000 0.000
```

Calculated values
V: 85.4 Å³/f.u.
Total moment: 0.00 μB per atom
Energy of formation from the pure elements: 133.5 kJ/mol of atoms
Space group: Pm-3m, No. 221

---

Here is an optimized crystal structure of Y9Tm2Sc from the Alexandria database. Energies are from PBE-GGA.

extended XYZ file:
```
12
Lattice="-1.108 2.084 -4.411 -4.745 0.591 1.472 3.394 13.496 5.524" Properties=species:S:1:pos:R:3 pbc="T T T"
Y -2.927 1.338 -1.470
Y -1.802 5.809 0.361
Y -0.658 10.362 2.224
Y -0.001 3.243 -1.305
Y 1.143 7.790 0.556
Y 2.286 12.337 2.418
Y -1.819 2.496 1.637
Y -0.676 7.043 3.498
Y 0.468 11.591 5.359
Tm 1.126 4.479 1.833
Tm 2.267 9.017 3.691
Sc 0.000 0.000 0.000
```

Calculated values
V: 374.8 Å³/f.u.
Total moment: 0.00 μB per atom
Energy of formation from the pure elements: 3.4 kJ/mol of atoms
Space group: P4/mmm, No. 123

---

Here is an optimized crystal structure of CaY2Cl from the Alexandria database. Energies are from PBE-GGA.

extended XYZ file:
```
4
Lattice="3.455 0.000 0.000 0.000 3.455 0.000 0.000 0.000 9.840" Properties=species:S:1:pos:R:3 pbc="T T T"
Y 0.000 0.000 9.450
Y 0.000 0.000 5.310
Ca 1.727 1.727 2.460
Cl 1.727 1.727 7.380
```

Calculated values
Distance to the lowest polymorph of the same formula: 1.41 eV/f.u.
V: 117.5 Å³/f.u.
Total moment: 0.00 μB per atom
Space group: P4/mmm, No. 123
Energy relative to the elements, uncorrected: -378 meV per atom

---

Here is an optimized crystal structure of SrAuBr2 from the Alexandria database. Energies are from PBE-GGA.

extended XYZ file:
```
4
Lattice="6.426 -0.002 0.000 3.403 5.451 0.000 -4.915 -2.725 3.117" Properties=species:S:1:pos:R:3 pbc="T T T"
Sr 4.915 2.725 0.000
Au 3.213 -0.001 1.559
Br 0.000 0.000 0.000
Br 1.702 2.726 1.559
```

Calculated values
Distance to the lowest polymorph of the same formula: 0.43 eV/f.u.
V: 109.2 Å³/f.u.
Total moment: 0.00 μB per atom
Space group: I-4m2, No. 119
Energy relative to the elements, uncorrected: -992 meV per atom

---

Here is an optimized crystal structure of K4BeRh from the Alexandria database. Energies are from PBE-GGA.

extended XYZ file:
```
6
Lattice="0.000 4.698 4.698 4.698 0.000 4.698 4.698 4.698 0.000" Properties=species:S:1:pos:R:3 pbc="T T T"
K 3.529 5.868 5.868
K 5.868 5.868 3.529
K 5.868 3.529 5.868
K 3.529 3.529 3.529
Be 0.000 0.000 0.000
Rh 7.048 7.048 7.048
```

Calculated values
V: 207.4 Å³/f.u.
Total moment: 0.00 μB per atom
Energy of formation from the pure elements: 109.8 kJ/mol of atoms
Space group: F-43m, No. 216

---

Here is an optimized crystal structure of Na2OsN from the Alexandria database. Energies are from PBE-GGA.

extended XYZ file:
```
8
Lattice="10.292 0.000 0.000 0.000 10.292 0.000 5.146 5.146 1.868" Properties=species:S:1:pos:R:3 pbc="T T T"
Na 5.334 2.573 0.467
Na 4.958 7.719 0.467
Na 7.719 10.104 1.401
Na 12.865 10.480 1.401
Os 0.000 0.000 0.000
Os 10.292 5.146 0.934
N 5.146 5.146 0.000
N 5.146 10.292 0.934
```

Calculated values
V: 98.9 Å³/f.u.
Total moment: 0.00 μB per atom
Space group: I-42d, No. 122
Energy relative to the elements, uncorrected: 269 meV per atom